Entry 1:
Material: Nd3Ga2Cu
Method: DFT, PBE
State: relaxed

Computed properties:
VASP energy (eV per atom): -4.51
Fermi-level density of states (states/eV/f.u.): 5.48
Total magnetization (μB per cell): 0.0

POSCAR file:
```
Nd3Ga2Cu
1.0
12.026 0.000 0.000
0.000 4.421 0.000
0.000 0.000 11.551
Nd Ga Cu
12 8 4
direct
0.050 0.250 0.127 Nd
0.127 0.750 0.561 Nd
0.221 0.250 0.800 Nd
0.279 0.750 0.300 Nd
0.373 0.250 0.061 Nd
0.450 0.750 0.627 Nd
0.550 0.250 0.373 Nd
0.627 0.750 0.939 Nd
0.721 0.250 0.700 Nd
0.779 0.750 0.200 Nd
0.873 0.250 0.439 Nd
0.950 0.750 0.873 Nd
0.017 0.750 0.316 Ga
0.191 0.750 0.000 Ga
0.309 0.250 0.500 Ga
0.483 0.250 0.816 Ga
0.517 0.750 0.184 Ga
0.691 0.750 0.500 Ga
0.809 0.250 0.000 Ga
0.983 0.250 0.684 Ga
0.123 0.250 0.376 Cu
0.377 0.750 0.876 Cu
0.623 0.250 0.124 Cu
0.877 0.750 0.624 Cu
```

=====

Entry 2:
Material: NdGa12Cu4
Method: DFT, PBE
State: relaxed

Computed properties:
VASP energy (eV per atom): -3.44
Fermi-level density of states (states/eV/f.u.): 5.92
Total magnetization (μB per cell): 0.0

POSCAR file:
```
NdGa12Cu4
1.0
-4.316 4.316 4.316
4.316 -4.316 4.316
4.316 4.316 -4.316
Nd Ga Cu
1 12 4
direct
0.000 0.000 0.000 Nd
0.158 0.348 0.506 Ga
0.158 0.652 0.810 Ga
0.190 0.842 0.348 Ga
0.348 0.190 0.842 Ga
0.348 0.506 0.158 Ga
0.494 0.842 0.652 Ga
0.506 0.158 0.348 Ga
0.652 0.494 0.842 Ga
0.652 0.810 0.158 Ga
0.810 0.158 0.652 Ga
0.842 0.348 0.190 Ga
0.842 0.652 0.494 Ga
0.000 0.000 0.500 Cu
0.000 0.500 0.000 Cu
0.500 0.000 0.000 Cu
0.500 0.500 0.500 Cu
```